A geometry-optimized CaNi4O9 structure. Source: Alexandria, functional PBE+U.

Density of states at the Fermi level = 2.76 states/eV/cell
Total energy = -4.943 eV per atom
Symmetry = P2/c, No. 13

Unit cell a=5.833 b=8.148 c=11.553 alpha=47.64 beta=90.00 gamma=90.00
Last column: magnetic moment on the atom in μB.
Fractional positions:
Ca: 0.810 0.500 0.250  0.01
Ca: 0.190 0.500 0.750  0.01
O: 0.437 0.595 0.859  -0.10
O: 0.847 0.307 0.956  0.46
O: 0.479 0.000 0.250  -0.05
O: 0.847 0.693 0.544  0.46
O: 0.616 0.822 0.038  -0.05
O: 0.384 0.822 0.538  -0.05
O: 0.855 0.257 0.866  0.44
O: 0.616 0.178 0.462  -0.05
O: 0.855 0.743 0.634  0.44
O: 0.384 0.178 0.962  -0.05
O: 0.153 0.693 0.044  0.46
O: 0.521 0.000 0.750  -0.05
O: 0.153 0.307 0.456  0.46
O: 0.145 0.257 0.366  0.44
O: 0.437 0.405 0.641  -0.10
O: 0.563 0.405 0.141  -0.10
O: 0.563 0.595 0.359  -0.10
O: 0.145 0.743 0.134  0.44
Ni: 0.427 0.865 0.157  1.66
Ni: 0.427 0.135 0.343  1.66
Ni: 0.573 0.135 0.843  1.66
Ni: 0.527 0.294 0.040  1.44
Ni: 0.473 0.706 0.960  1.44
Ni: 0.527 0.706 0.460  1.44
Ni: 0.473 0.294 0.540  1.44
Ni: 0.573 0.865 0.657  1.66